1.
VASP calculation (GGA-PBE) on an optimized crystal structure of TePbBr2.

Lattice parameters (Å, degrees): 3.9163 3.9163 29.6486 90.00 90.00 120.00
With the nearest neighbours (Å) after each atom.
Space group R3m (No. 160, hexagonal axes)
Inequivalent atoms, fractional coordinates:
Te  0.0000  0.0000  0.0000  3 Br 3.21, 3 Pb 3.27
Pb  0.0000  0.0000  0.2536  3 Br 3.03, 3 Te 3.27
Br  0.0000  0.0000  0.5188  3 Pb 3.03
Br  0.0000  0.0000  0.7433  3 Te 3.21

## Properties
- Raw formation energy: -126 meV per atom
- DOS at the Fermi energy: 4.77 states/eV/f.u.

=====

2.
VASP calculation (GGA-PBE) on an optimized crystal structure of Te2PbBr.

Lattice parameters (Å, degrees): 4.4397 4.4397 6.2993 90.00 90.00 90.00
With the nearest neighbours (Å) after each atom.
Space group P4/mmm (No. 123)
Inequivalent atoms, fractional coordinates:
Te  0.0000  0.5000  0.0000  4 Te 3.14
Pb  0.0000  0.0000  0.5000  4 Br 3.14
Br  0.5000  0.5000  0.5000  4 Pb 3.14

## Properties
- Raw formation energy: -218 meV per atom
- DOS at the Fermi energy: 1.60 states/eV/f.u.

=====

Q: Which formula does entry 2 have?
A: Te2PbBr